Record 1
A plane-wave DFT calculation with SCAN was carried out for Al2TlCd at its PBEsol-relaxed geometry.

**Calculated total energy**: -1.076 hartree per atom
**E_form**: 281 meV/atom
**D(E_F)**: 1.91 states/eV/f.u.

a = 5.9186 Å, b = 10.5975 Å, c = 3.2010 Å
α = 90.00°, β = 121.76°, γ = 90.00°
Space group C2/m (No. 12)
Unique sites:
Al1 0.2500 0.2500 0.0000
Tl1 0.0000 0.0000 0.5000
Cd1 0.0000 0.5000 0.5000

***

Record 2
A plane-wave DFT calculation with SCAN was carried out for AlCd2W at its PBEsol-relaxed geometry.

**Calculated total energy**: -1.255 hartree per atom
**E_form**: 419 meV/atom
**D(E_F)**: 1.82 states/eV/f.u.

a = 2.7489 Å, b = 5.1262 Å, c = 4.9887 Å
α = 90.00°, β = 93.40°, γ = 90.00°
Space group P2/m (No. 10)
Unique sites:
Al1 0.0000 0.0000 0.0000
Cd1 0.2214 0.5000 0.7481
W1 0.5000 0.0000 0.5000